This record from Alexandria via LeMat-Bulk describes a relaxed structure of SmPd2Au4. The functional is GGA-PBE.

Lattice parameters (Å, degrees): 8.856 7.036 5.423 90.00 127.48 90.00
Space group C2/m (No. 12)
Unique sites:
Sm  0.000  0.000  0.000
Pd  0.001  0.500  0.751
Au  0.199  0.199  0.699

calculated total energy	-63.09	eV per cell

This record from Alexandria via LeMat-Bulk describes a relaxed structure of SmPd5Au6. The functional is GGA-PBE.

Lattice parameters (Å, degrees): 4.185 8.182 12.404 90.00 90.00 90.00
Space group Immm (No. 71)
Unique sites:
Sm  0.000  0.000  0.000
Pd  0.000  0.000  0.329
Pd  0.000  0.500  0.000
Pd  0.000  0.500  0.338
Au  0.000  0.231  0.500
Au  0.000  0.261  0.170

calculated total energy	-107.76	eV per cell